Computed, not measured: AcTmTiN3 after structural relaxation at the PBE level of DFT.

Lattice parameters (Å, degrees): 7.445 3.605 7.870 90.00 102.69 90.00
Sites, in units of the cell vectors:
Ac: 0.191 0.250 0.194
Ac: 0.809 0.750 0.806
Tm: 0.357 0.750 0.852
Tm: 0.643 0.250 0.148
Ti: 0.104 0.250 0.602
Ti: 0.896 0.750 0.398
N: 0.118 0.250 0.849
N: 0.170 0.750 0.527
N: 0.428 0.750 0.144
N: 0.572 0.250 0.856
N: 0.830 0.250 0.473
N: 0.882 0.750 0.151

Energy = -49.3 eV per formula unit
Formation energy from raw total energies = -1.301 eV/atom
Magnetization = 0.00 μB/f.u.
Crystal system = monoclinic

***

Computed, not measured: AcY2TiN4 after structural relaxation at the PBE level of DFT.

Lattice parameters (Å, degrees): 6.312 6.312 11.903 90.00 90.00 147.85
Sites, in units of the cell vectors:
Ac: 0.093 0.907 0.750
Ac: 0.907 0.093 0.250
Y: 0.371 0.629 0.541
Y: 0.371 0.629 0.959
Y: 0.629 0.371 0.041
Y: 0.629 0.371 0.459
Ti: 0.170 0.830 0.250
Ti: 0.830 0.170 0.750
N: 0.000 0.000 0.000
N: 0.000 0.000 0.500
N: 0.261 0.739 0.122
N: 0.261 0.739 0.378
N: 0.419 0.581 0.750
N: 0.581 0.419 0.250
N: 0.739 0.261 0.622
N: 0.739 0.261 0.878

Energy = -69.8 eV per formula unit
Formation energy from raw total energies = -1.451 eV/atom
Magnetization = 0.00 μB/f.u.
Crystal system = orthorhombic

***

Computed, not measured: AcTiZn2N4 after structural relaxation at the PBE level of DFT.

Lattice parameters (Å, degrees): 5.387 5.387 5.387 119.18 119.18 91.42
Sites, in units of the cell vectors:
Ac: 0.000 0.000 0.000
Ti: 0.500 0.500 0.000
Zn: 0.250 0.750 0.500
Zn: 0.750 0.250 0.500
N: 0.146 0.550 0.000
N: 0.450 0.450 0.595
N: 0.550 0.146 0.000
N: 0.854 0.854 0.405

Energy = -52.4 eV per formula unit
Formation energy from raw total energies = -0.567 eV/atom
Magnetization = 0.59 μB/f.u.
Crystal system = tetragonal

***

Computed, not measured: Ac10Tl4N3 after structural relaxation at the PBE level of DFT.

Lattice parameters (Å, degrees): 19.648 19.648 19.648 164.40 164.40 22.14
Sites, in units of the cell vectors:
Ac: 0.000 0.500 0.500
Ac: 0.069 0.069 0.000
Ac: 0.140 0.640 0.500
Ac: 0.213 0.213 0.000
Ac: 0.360 0.860 0.500
Ac: 0.500 0.000 0.500
Ac: 0.640 0.140 0.500
Ac: 0.787 0.787 0.000
Ac: 0.860 0.360 0.500
Ac: 0.931 0.931 0.000
Tl: 0.302 0.302 0.000
Tl: 0.432 0.432 0.000
Tl: 0.568 0.568 0.000
Tl: 0.698 0.698 0.000
N: 0.000 0.000 0.000
N: 0.144 0.144 0.000
N: 0.856 0.856 0.000

Energy = -85.7 eV per formula unit
Formation energy from raw total energies = -0.600 eV/atom
Magnetization = 0.00 μB/f.u.
Crystal system = tetragonal

***

Computed, not measured: Ac2TlN after structural relaxation at the PBE level of DFT.

Lattice parameters (Å, degrees): 9.037 9.037 9.037 25.00 25.00 25.00
Sites, in units of the cell vectors:
Ac: 0.224 0.224 0.224
Ac: 0.776 0.776 0.776
Tl: 0.000 0.000 0.000
N: 0.500 0.500 0.500

Energy = -21.4 eV per formula unit
Formation energy from raw total energies = -0.629 eV/atom
Magnetization = 0.47 μB/f.u.
Offset from the most stable computed form = 0.19 eV per formula unit
Crystal system = trigonal

***

Computed, not measured: Ac12Tl6N after structural relaxation at the PBE level of DFT.

Lattice parameters (Å, degrees): 9.047 9.047 9.047 93.80 93.80 93.80
Sites, in units of the cell vectors:
Ac: 0.041 0.919 0.693
Ac: 0.081 0.307 0.959
Ac: 0.210 0.426 0.538
Ac: 0.307 0.959 0.081
Ac: 0.426 0.538 0.210
Ac: 0.462 0.790 0.574
Ac: 0.538 0.210 0.426
Ac: 0.574 0.462 0.790
Ac: 0.693 0.041 0.919
Ac: 0.790 0.574 0.462
Ac: 0.919 0.693 0.041
Ac: 0.959 0.081 0.307
Tl: 0.142 0.754 0.356
Tl: 0.246 0.644 0.858
Tl: 0.356 0.142 0.754
Tl: 0.644 0.858 0.246
Tl: 0.754 0.356 0.142
Tl: 0.858 0.246 0.644
N: 0.500 0.500 0.500

Energy = -77.1 eV per formula unit
Formation energy from raw total energies = -0.277 eV/atom
Magnetization = 0.00 μB/f.u.
Crystal system = trigonal

***

Computed, not measured: Ac5Tl2N2 after structural relaxation at the PBE level of DFT.

Lattice parameters (Å, degrees): 5.248 5.248 10.497 90.00 90.00 90.00
Sites, in units of the cell vectors:
Ac: 0.000 0.000 0.000
Ac: 0.000 0.500 0.282
Ac: 0.000 0.500 0.718
Ac: 0.500 0.000 0.282
Ac: 0.500 0.000 0.718
Tl: 0.500 0.500 0.000
Tl: 0.500 0.500 0.500
N: 0.000 0.000 0.241
N: 0.000 0.000 0.759

Energy = -47.4 eV per formula unit
Formation energy from raw total energies = -0.613 eV/atom
Magnetization = 0.00 μB/f.u.
Offset from the most stable computed form = 0.37 eV per formula unit
Crystal system = tetragonal

***

Computed, not measured: Ac2TlN after structural relaxation at the PBE level of DFT.

Lattice parameters (Å, degrees): 3.438 3.438 8.539 90.00 90.00 90.00
Sites, in units of the cell vectors:
Ac: 0.000 0.000 0.187
Ac: 0.000 0.000 0.813
Tl: 0.500 0.500 0.500
N: 0.500 0.500 0.000

Energy = -20.1 eV per formula unit
Formation energy from raw total energies = -0.294 eV/atom
Magnetization = 0.00 μB/f.u.
Offset from the most stable computed form = 1.53 eV per formula unit
Crystal system = tetragonal

***

Computed, not measured: Ac3TlN2 after structural relaxation at the PBE level of DFT.

Lattice parameters (Å, degrees): 4.281 13.212 6.201 90.00 90.00 90.00
Sites, in units of the cell vectors:
Ac: 0.250 0.027 0.236
Ac: 0.250 0.250 0.782
Ac: 0.250 0.473 0.236
Ac: 0.750 0.527 0.764
Ac: 0.750 0.750 0.218
Ac: 0.750 0.973 0.764
Tl: 0.250 0.750 0.676
Tl: 0.750 0.250 0.324
N: 0.250 0.063 0.851
N: 0.250 0.437 0.851
N: 0.750 0.563 0.149
N: 0.750 0.937 0.149

Energy = -36.4 eV per formula unit
Formation energy from raw total energies = -0.841 eV/atom
Magnetization = 0.27 μB/f.u.
Crystal system = orthorhombic

***

Computed, not measured: Ac6Tl3N2 after structural relaxation at the PBE level of DFT.

Lattice parameters (Å, degrees): 14.006 14.006 14.006 158.45 158.45 30.67
Sites, in units of the cell vectors:
Ac: 0.086 0.586 0.500
Ac: 0.197 0.197 0.000
Ac: 0.414 0.914 0.500
Ac: 0.586 0.086 0.500
Ac: 0.803 0.803 0.000
Ac: 0.914 0.414 0.500
Tl: 0.326 0.326 0.000
Tl: 0.500 0.500 0.000
Tl: 0.674 0.674 0.000
N: 0.108 0.108 0.000
N: 0.892 0.892 0.000

Energy = -54.8 eV per formula unit
Formation energy from raw total energies = -0.580 eV/atom
Magnetization = 0.00 μB/f.u.
Crystal system = tetragonal

***

Computed, not measured: Ac3Tl2N2 after structural relaxation at the PBE level of DFT.

Lattice parameters (Å, degrees): 6.083 6.083 7.182 102.43 102.43 52.25
Sites, in units of the cell vectors:
Ac: 0.000 0.000 0.000
Ac: 0.329 0.329 0.651
Ac: 0.671 0.671 0.349
Tl: 0.332 0.332 0.139
Tl: 0.668 0.668 0.861
N: 0.179 0.179 0.332
N: 0.821 0.821 0.668

Energy = -37.3 eV per formula unit
Formation energy from raw total energies = -0.508 eV/atom
Magnetization = 0.00 μB/f.u.
Crystal system = monoclinic